The following is a GGA-PBE calculation of a relaxed structure of BaNa2Tl, from Alexandria via LeMat-Bulk.

Geometry as CIF:
```
data_BaNa2Tl
_symmetry_space_group_name_H-M 'F m -3 m'
_symmetry_Int_Tables_number 225
_symmetry_space_group_name_Hall '-F 4 2 3'
_cell_length_a 8.189
_cell_length_b 8.189
_cell_length_c 8.189
_cell_angle_alpha 90.00
_cell_angle_beta 90.00
_cell_angle_gamma 90.00
loop_
_atom_site_label
_atom_site_type_symbol
_atom_site_fract_x
_atom_site_fract_y
_atom_site_fract_z
_atom_site_occupancy
Ba1 Ba 0.000 0.000 0.000 1
Na1 Na 0.250 0.250 0.250 1
Tl1 Tl 0.000 0.000 0.500 1
```

Computed properties:
- D(E_F): 16.315 states/eV/cell
- Crystal system: cubic
- DFT formation energy: -97 meV/atom
- Energy above the lowest structure with this stoichiometry: 49 meV per atom

The following is a GGA-PBE calculation of a relaxed structure of Ba3Na3Tl8, from Alexandria via LeMat-Bulk.

Geometry as CIF:
```
data_Ba3Na3Tl8
_symmetry_space_group_name_H-M 'I m m m'
_symmetry_Int_Tables_number 71
_symmetry_space_group_name_Hall '-I 2 2'
_cell_length_a 5.242
_cell_length_b 11.326
_cell_length_c 15.952
_cell_angle_alpha 90.00
_cell_angle_beta 90.00
_cell_angle_gamma 90.00
loop_
_atom_site_label
_atom_site_type_symbol
_atom_site_fract_x
_atom_site_fract_y
_atom_site_fract_z
_atom_site_occupancy
Ba1 Ba 0.000 0.000 0.000 1
Ba2 Ba 0.000 0.000 0.290 1
Na1 Na 0.000 0.205 0.500 1
Na2 Na 0.000 0.500 0.000 1
Tl1 Tl 0.000 0.285 0.140 1
Tl2 Tl 0.000 0.362 0.336 1
```

Computed properties:
- D(E_F): 11.987 states/eV/cell
- Crystal system: orthorhombic
- DFT formation energy: -268 meV/atom

Q: Which of these has the highest D(E_F)?
A: BaNa2Tl